Entry 1:
Below is a relaxed Pr2AlNi crystal, with properties calculated at the PBE-GGA level.

Results
The formation energy comes out at 0.3625 eV per atom. For the uncorrected energy, the calculation gives -4.41 eV/atom. The value obtained for the density of states at the Fermi level is 6.6 states/eV/cell. The magnetic moment comes out at 0.000 μB per formula unit.

Lattice parameters (Å, degrees): 3.4463 3.4463 30.3860 90.00 90.00 120.00
Space group R-3m (No. 166, hexagonal axes)
Asymmetric unit:
Pr 0.0000 0.0000 0.0857
Al 0.0000 0.0000 0.5000
Ni 0.0000 0.0000 0.0000

Entry 2:
Below is a relaxed Pr6AlNi2 crystal, with properties calculated at the PBE-GGA level.

Results
The formation energy comes out at -0.2071 eV per atom. For the uncorrected energy, the calculation gives -5.09 eV/atom. The value obtained for the density of states at the Fermi level is 32.1 states/eV/cell. The magnetic moment comes out at 0.000 μB per formula unit.

Lattice parameters (Å, degrees): 9.466 10.205 10.516 90.00 90.00 90.00
Space group Immm (No. 71)
Asymmetric unit:
Pr 0.000 0.190 0.237
Pr 0.187 0.500 0.169
Pr 0.210 0.324 0.500
Al 0.000 0.000 0.000
Al 0.000 0.000 0.500
Ni 0.000 0.295 0.000
Ni 0.000 0.500 0.376

Entry 3:
Below is a relaxed Pr3Al5Ni2 crystal, with properties calculated at the PBE-GGA level.

Results
The formation energy comes out at -0.5079 eV per atom. For the uncorrected energy, the calculation gives -4.97 eV/atom. The value obtained for the density of states at the Fermi level is 9.1 states/eV/cell. The magnetic moment comes out at 0.000 μB per formula unit.

Lattice parameters (Å, degrees): 10.006 10.006 4.114 90.00 90.00 90.00
Space group P4/mbm (No. 127)
Asymmetric unit:
Pr 0.000 0.000 0.000
Pr 0.177 0.323 0.000
Al 0.000 0.500 0.500
Al 0.065 0.761 0.500
Ni 0.119 0.619 0.000

Entry 4:
Below is a relaxed PrAl3Ni3 crystal, with properties calculated at the PBE-GGA level.

Results
The formation energy comes out at -0.1028 eV per atom. For the uncorrected energy, the calculation gives -4.87 eV/atom. The value obtained for the density of states at the Fermi level is 11.8 states/eV/cell. The magnetic moment comes out at 0.000 μB per formula unit.

Lattice parameters (Å, degrees): 6.449 6.449 6.449 90.00 90.00 90.00
Space group Pm-3n (No. 223)
Asymmetric unit:
Pr 0.000 0.000 0.000
Al 0.000 0.250 0.500
Ni 0.000 0.500 0.250

Entry 5:
Below is a relaxed Pr3AlNi crystal, with properties calculated at the PBE-GGA level.

Results
The formation energy comes out at -0.1515 eV per atom. For the uncorrected energy, the calculation gives -4.92 eV/atom. The value obtained for the density of states at the Fermi level is 10.5 states/eV/cell. The magnetic moment comes out at 0.000 μB per formula unit.

Lattice parameters (Å, degrees): 7.133 5.342 7.378 90.00 97.04 90.00
Space group Pm (No. 6)
Asymmetric unit:
Pr 0.000 0.000 0.000
Pr 0.021 0.500 0.325
Pr 0.291 0.000 0.601
Pr 0.448 0.000 0.146
Pr 0.580 0.500 0.849
Pr 0.788 0.000 0.518
Al 0.069 0.500 0.754
Al 0.491 0.500 0.375
Ni 0.253 0.500 0.057
Ni 0.635 0.000 0.835

Entry 6:
Below is a relaxed Pr6Al2Ni crystal, with properties calculated at the PBE-GGA level.

Results
The formation energy comes out at -0.1373 eV per atom. For the uncorrected energy, the calculation gives -4.80 eV/atom. The value obtained for the density of states at the Fermi level is 19.8 states/eV/cell. The magnetic moment comes out at 0.000 μB per formula unit.

Lattice parameters (Å, degrees): 5.786 8.992 11.703 90.00 118.77 90.00
Space group P2_1/c (No. 14)
Asymmetric unit:
Pr 0.004 0.192 0.437
Pr 0.324 0.016 0.269
Pr 0.367 0.660 0.436
Al 0.201 0.139 0.747
Ni 0.000 0.000 0.000

Entry 7:
Below is a relaxed PrAl6Ni3 crystal, with properties calculated at the PBE-GGA level.

Results
The formation energy comes out at -0.4648 eV per atom. For the uncorrected energy, the calculation gives -4.92 eV/atom. The value obtained for the density of states at the Fermi level is 10.2 states/eV/cell. The magnetic moment comes out at 0.000 μB per formula unit.

Lattice parameters (Å, degrees): 7.538 4.057 10.651 90.00 99.64 90.00
Space group P2_1/m (No. 11)
Asymmetric unit:
Pr 0.050 0.250 0.235
Al 0.101 0.250 0.569
Al 0.255 0.750 0.029
Al 0.332 0.250 0.863
Al 0.344 0.750 0.687
Al 0.390 0.750 0.274
Al 0.397 0.250 0.463
Ni 0.084 0.250 0.972
Ni 0.231 0.750 0.464
Ni 0.452 0.250 0.112

Entry 8:
Below is a relaxed Pr8AlNi2 crystal, with properties calculated at the PBE-GGA level.

Results
The formation energy comes out at -0.0647 eV per atom. For the uncorrected energy, the calculation gives -4.93 eV/atom. The value obtained for the density of states at the Fermi level is 30.7 states/eV/cell. The magnetic moment comes out at 0.000 μB per formula unit.

Lattice parameters (Å, degrees): 9.041 13.799 5.354 90.00 103.89 90.00
Space group Cm (No. 8)
Asymmetric unit:
Pr 0.000 0.000 0.000
Pr 0.077 0.376 0.758
Pr 0.189 0.125 0.621
Pr 0.266 0.500 0.378
Pr 0.384 0.248 0.189
Al 0.383 0.000 0.189
Ni 0.382 0.314 0.687

Entry 9:
Below is a relaxed PrAlNi4 crystal, with properties calculated at the PBE-GGA level.

Results
The formation energy comes out at -0.4511 eV per atom. For the uncorrected energy, the calculation gives -5.73 eV/atom. The value obtained for the density of states at the Fermi level is 7.1 states/eV/cell. The magnetic moment comes out at 0.000 μB per formula unit.

Lattice parameters (Å, degrees): 5.152 8.545 4.045 90.00 90.00 90.00
Space group Cmmm (No. 65)
Asymmetric unit:
Pr 0.000 0.000 0.000
Al 0.000 0.500 0.500
Ni 0.000 0.333 0.000
Ni 0.250 0.250 0.500

Entry 10:
Below is a relaxed Pr8Al2Ni crystal, with properties calculated at the PBE-GGA level.

Results
The formation energy comes out at -0.1505 eV per atom. For the uncorrected energy, the calculation gives -4.83 eV/atom. The value obtained for the density of states at the Fermi level is 21.5 states/eV/cell. The magnetic moment comes out at 0.000 μB per formula unit.

Lattice parameters (Å, degrees): 18.948 5.153 6.939 90.00 103.35 90.00
Space group C2/m (No. 12)
Asymmetric unit:
Pr 0.017 0.000 0.281
Pr 0.093 0.500 0.959
Pr 0.150 0.500 0.472
Pr 0.209 0.000 0.798
Al 0.185 0.000 0.242
Ni 0.000 0.500 0.500